VASP calculation (meta-GGA SCAN) on a crystal of CuRuCl2 relaxed with PBEsol.

Lattice parameters (Å, degrees): 4.334 4.334 3.001 90.00 90.00 90.00
Positions (direct):
Cu: 0.000 0.000 0.000
Ru: 0.500 0.500 0.000
Cl: 0.000 0.500 0.500
Cl: 0.500 0.000 0.500

Crystal system ... tetragonal
Space-group type ... No. 123
E_form (uncorrected) ... 0.55 eV per atom
DFT total energy ... -63.8 eV for the cell shown
Energy above the most stable polymorph in this dataset ... 0.336 eV per atom